<P>
BeCu2Te: optimized geometry, PBE.

The structure belongs to space group P4/mmm (No. 123); the cell edges are 3.714, 3.714 and 4.391 Å and the angles 90.00°, 90.00° and 90.00°. The distinct sites, in fractional coordinates, are Be at (0.000, 0.000, 0.000), Cu at (0.000, 0.500, 0.500) and Te at (0.500, 0.500, 0.000).

=====

<Q>
BeCu2Te: optimized geometry, PBE.

The structure belongs to space group Cmm2 (No. 35); the cell edges are 4.922, 4.937 and 5.056 Å and the angles 90.00°, 90.00° and 90.00°. The distinct sites, in fractional coordinates, are Be at (0.000, 0.000, 0.000), Cu at (0.000, 0.000, 0.450), Cu at (0.000, 0.500, 0.249) and Te at (0.000, 0.500, 0.756).

=====

The most stable of them is <Q>.

=====

<P>
BeCuTe3: optimized geometry, PBE.

The structure belongs to space group Pm-3m (No. 221); the cell edges are 4.939, 4.939 and 4.939 Å and the angles 90.00°, 90.00° and 90.00°. The distinct sites, in fractional coordinates, are Be at (0.000, 0.000, 0.000), Cu at (0.500, 0.500, 0.500) and Te at (0.000, 0.000, 0.500).

=====

<Q>
BeCuTe3: optimized geometry, PBE.

The structure belongs to space group Pm-3m (No. 221); the cell edges are 5.097, 5.097 and 5.097 Å and the angles 90.00°, 90.00° and 90.00°. The distinct sites, in fractional coordinates, are Be at (0.000, 0.000, 0.000), Cu at (0.500, 0.500, 0.500) and Te at (0.000, 0.500, 0.500).

=====

The most stable of them is <P>.

=====

<P>
TiBe2Cu: optimized geometry, PBE.

The structure belongs to space group Fm-3m (No. 225); the cell edges are 5.607, 5.607 and 5.607 Å and the angles 90.00°, 90.00° and 90.00°. The distinct sites, in fractional coordinates, are Ti at (0.000, 0.000, 0.000), Be at (0.250, 0.250, 0.250) and Cu at (0.000, 0.000, 0.500).

=====

<Q>
TiBe2Cu: optimized geometry, PBE.

The structure belongs to space group I-42d (No. 122); the cell edges are 3.790, 3.790 and 14.944 Å and the angles 90.00°, 90.00° and 90.00°. The distinct sites, in fractional coordinates, are Ti at (0.000, 0.000, 0.000), Be at (0.073, 0.250, 0.625) and Cu at (0.000, 0.000, 0.500).

=====

The most stable of them is <P>.

=====

<P>
TiBe4Cu: optimized geometry, PBE.

The structure belongs to space group F-43m (No. 216); the cell edges are 6.246, 6.246 and 6.246 Å and the angles 90.00°, 90.00° and 90.00°. The distinct sites, in fractional coordinates, are Ti at (0.000, 0.000, 0.000), Be at (0.127, 0.127, 0.373) and Cu at (0.250, 0.250, 0.750).

=====

<Q>
TiBe4Cu: optimized geometry, PBE.

The structure belongs to space group Cmcm (No. 63); the cell edges are 3.439, 13.896 and 5.252 Å and the angles 90.00°, 90.00° and 90.00°. The distinct sites, in fractional coordinates, are Ti at (0.000, 0.110, 0.250), Be at (0.000, 0.073, 0.750), Be at (0.000, 0.341, 0.052), Be at (0.000, 0.500, 0.000) and Cu at (0.000, 0.231, 0.750).

=====

The most stable of them is <P>.

=====

<P>
TiBeCu3: optimized geometry, PBE.

The structure belongs to space group Pm-3m (No. 221); the cell edges are 4.024, 4.024 and 4.024 Å and the angles 90.00°, 90.00° and 90.00°. The distinct sites, in fractional coordinates, are Ti at (0.000, 0.000, 0.000), Be at (0.500, 0.500, 0.500) and Cu at (0.000, 0.500, 0.500).

=====

<Q>
TiBeCu3: optimized geometry, PBE.

The structure belongs to space group Pm-3m (No. 221); the cell edges are 4.591, 4.591 and 4.591 Å and the angles 90.00°, 90.00° and 90.00°. The distinct sites, in fractional coordinates, are Ti at (0.000, 0.000, 0.000), Be at (0.500, 0.500, 0.500) and Cu at (0.000, 0.000, 0.500).

=====

The most stable of them is <P>.

=====

<P>
Be2TlCu: optimized geometry, PBE.

The structure belongs to space group P2/m (No. 10); the cell edges are 2.944, 4.001 and 5.074 Å and the angles 90.00°, 99.05° and 90.00°. The distinct sites, in fractional coordinates, are Be at (0.198, 0.000, 0.328), Tl at (0.000, 0.500, 0.000) and Cu at (0.500, 0.500, 0.500).

=====

<Q>
Be2TlCu: optimized geometry, PBE.

The structure belongs to space group P2/m (No. 10); the cell edges are 3.635, 3.862 and 3.858 Å and the angles 90.00°, 90.28° and 90.00°. The distinct sites, in fractional coordinates, are Be at (0.000, 0.000, 0.000), Be at (0.000, 0.500, 0.500), Tl at (0.500, 0.000, 0.500) and Cu at (0.500, 0.500, 0.000).

=====

<R>
Be2TlCu: optimized geometry, PBE.

The structure belongs to space group Pmmm (No. 47); the cell edges are 2.875, 3.067 and 6.513 Å and the angles 90.00°, 90.00° and 90.00°. The distinct sites, in fractional coordinates, are Be at (0.000, 0.000, 0.166), Tl at (0.500, 0.500, 0.500) and Cu at (0.500, 0.500, 0.000).

=====

The most stable of them is <R>.

=====

<P>
Be2TlCu: optimized geometry, PBE.

The structure belongs to space group Cm (No. 8); the cell edges are 6.735, 3.899 and 5.102 Å and the angles 90.00°, 90.35° and 90.00°. The distinct sites, in fractional coordinates, are Be at (0.000, 0.000, 0.000), Be at (0.168, 0.500, 0.002), Tl at (0.056, 0.500, 0.501) and Cu at (0.332, 0.000, 0.000).

=====

<Q>
Be2TlCu: optimized geometry, PBE.

The structure belongs to space group I4_1/amd (No. 141, origin choice 2); the cell edges are 4.162, 4.162 and 15.427 Å and the angles 90.00°, 90.00° and 90.00°. The distinct sites, in fractional coordinates, are Be at (0.000, 0.000, 0.000), Tl at (0.000, 0.250, 0.375) and Cu at (0.000, 0.250, 0.875).

=====

<R>
Be2TlCu: optimized geometry, PBE.

The structure belongs to space group Pm (No. 6); the cell edges are 2.927, 3.652 and 5.442 Å and the angles 90.00°, 90.31° and 90.00°. The distinct sites, in fractional coordinates, are Be at (0.000, 0.000, 0.000), Be at (0.005, 0.500, 0.252), Tl at (0.506, 0.000, 0.523) and Cu at (0.501, 0.500, 0.943).

=====

<S>
Be2TlCu: optimized geometry, PBE.

The structure belongs to space group R-3m (No. 166, hexagonal axes); the cell edges are 2.9653, 2.9653 and 23.6171 Å and the angles 90.00°, 90.00° and 120.00°. The distinct sites, in fractional coordinates, are Be at (0.0000, 0.0000, 0.2355), Tl at (0.0000, 0.0000, 0.0000) and Cu at (0.0000, 0.0000, 0.5000).

=====

The most stable of them is <P>.

=====

<P>
Be2TlCu: optimized geometry, PBE.

The structure belongs to space group I4/mmm (No. 139); the cell edges are 3.957, 3.957 and 6.910 Å and the angles 90.00°, 90.00° and 90.00°. The distinct sites, in fractional coordinates, are Be at (0.000, 0.500, 0.250), Tl at (0.000, 0.000, 0.000) and Cu at (0.000, 0.000, 0.500).

=====

<Q>
Be2TlCu: optimized geometry, PBE.

The structure belongs to space group F-43m (No. 216); the cell edges are 6.091, 6.091 and 6.091 Å and the angles 90.00°, 90.00° and 90.00°. The distinct sites, in fractional coordinates, are Be at (0.000, 0.000, 0.000), Be at (0.250, 0.250, 0.250), Tl at (0.250, 0.250, 0.750) and Cu at (0.000, 0.000, 0.500).

=====

<R>
Be2TlCu: optimized geometry, PBE.

The structure belongs to space group C2/m (No. 12); the cell edges are 5.197, 8.382 and 3.127 Å and the angles 90.00°, 117.56° and 90.00°. The distinct sites, in fractional coordinates, are Be at (0.250, 0.250, 0.000), Tl at (0.000, 0.000, 0.000) and Cu at (0.000, 0.500, 0.000).

=====

<S>
Be2TlCu: optimized geometry, PBE.

The structure belongs to space group P4mm (No. 99); the cell edges are 2.853, 2.853 and 7.336 Å and the angles 90.00°, 90.00° and 90.00°. The distinct sites, in fractional coordinates, are Be at (0.000, 0.000, 0.000), Be at (0.500, 0.500, 0.144), Tl at (0.500, 0.500, 0.661) and Cu at (0.000, 0.000, 0.312).

=====

The most stable of them is <S>.